{"formula": "TaMnInIr", "functional": "GGA-PBE", "state": "optimized geometry", "lattice": [[-3.219, 2.599, 1.683], [-1.799, -0.962, 3.973], [0.849, 2.606, 3.526]], "species": ["Ir", "In", "Mn", "Ta"], "fractional_positions": [[0.500, 0.500, 0.500], [0.250, 0.250, 0.250], [0.000, 0.000, 0.000], [0.750, 0.750, 0.750]], "dos_ef_per_ev_atom": 0.119, "ef_kj_per_mol_atoms": -14.5, "spacegroup": "F-43m"}

=====

{"formula": "MnInTc2Ir", "functional": "GGA-PBE", "state": "optimized geometry", "lattice": [[4.737, 0.000, 0.000], [0.000, 4.496, 0.000], [0.000, 0.000, 4.737]], "species": ["Ir", "Tc", "Tc", "Mn", "In"], "fractional_positions": [[0.500, 0.500, 0.500], [0.000, 0.000, 0.500], [0.500, 0.000, 0.000], [0.000, 0.500, 0.000], [0.000, 0.000, 0.000]], "dos_ef_per_ev_atom": 1.971, "ef_kj_per_mol_atoms": 256.6, "spacegroup": "P4/mmm"}

=====

{"formula": "InMo2Ir", "functional": "GGA-PBE", "state": "optimized geometry", "lattice": [[-0.640, -0.733, 2.639], [-0.544, -2.622, -0.861], [7.998, -2.104, 1.355]], "species": ["In", "Ir", "Mo", "Mo"], "fractional_positions": [[0.500, 0.500, 0.250], [0.500, 0.500, 0.750], [0.000, 0.000, 0.980], [0.000, 0.000, 0.520]], "dos_ef_per_ev_atom": 0.830, "ef_kj_per_mol_atoms": 8.3, "spacegroup": "P4/mmm"}

=====

{"formula": "InMo2Ir", "functional": "GGA-PBE", "state": "optimized geometry", "lattice": [[-2.660, 7.985, 4.424], [-2.698, 6.210, 6.676], [-0.246, 7.467, 5.882]], "species": ["In", "Ir", "Mo", "Mo"], "fractional_positions": [[0.250, 0.250, 0.250], [0.750, 0.750, 0.750], [0.005, 0.005, 0.005], [0.495, 0.495, 0.495]], "dos_ef_per_ev_atom": 0.957, "ef_kj_per_mol_atoms": 21.4, "spacegroup": "R-3m"}

=====

{"formula": "InMoIr2", "functional": "GGA-PBE", "state": "optimized geometry", "lattice": [[4.801, -0.011, -0.001], [-3.551, 5.475, 0.010], [0.003, 1.526, 2.455]], "species": ["In", "Ir", "Ir", "Mo"], "fractional_positions": [[0.500, 0.000, 0.500], [0.000, 0.000, 0.000], [0.000, 0.500, 0.500], [0.500, 0.500, 0.000]], "dos_ef_per_ev_atom": 0.705, "ef_kj_per_mol_atoms": 1.9, "spacegroup": "Cmmm"}

=====

{"formula": "InMo2Ir", "functional": "GGA-PBE", "state": "optimized geometry", "lattice": [[2.826, 0.000, 0.000], [0.000, 3.965, 0.000], [0.000, 0.000, 5.950]], "species": ["In", "Ir", "Mo", "Mo"], "fractional_positions": [[0.000, 0.000, 0.505], [0.500, 0.500, 0.767], [0.000, 0.000, 0.994], [0.500, 0.500, 0.234]], "dos_ef_per_ev_atom": 0.753, "ef_kj_per_mol_atoms": 17.0, "spacegroup": "Pmm2"}

=====

{"formula": "InMo2Ir", "functional": "GGA-PBE", "state": "optimized geometry", "lattice": [[-1.717, -0.813, 2.611], [2.398, -1.929, 0.976], [2.615, 4.891, 3.243]], "species": ["In", "Ir", "Mo", "Mo"], "fractional_positions": [[0.000, 0.000, 0.503], [0.500, 0.500, 0.759], [0.000, 0.000, 0.014], [0.500, 0.500, 0.223]], "dos_ef_per_ev_atom": 0.354, "ef_kj_per_mol_atoms": 12.6, "spacegroup": "P4mm"}

=====

{"formula": "InMo2Ir", "functional": "GGA-PBE", "state": "optimized geometry", "lattice": [[-3.555, 8.813, 0.342], [-5.401, 7.672, -1.548], [-5.866, 7.375, 1.277]], "species": ["In", "Ir", "Mo", "Mo"], "fractional_positions": [[0.498, 0.498, 0.498], [0.745, 0.745, 0.745], [0.004, 0.004, 0.004], [0.253, 0.253, 0.253]], "dos_ef_per_ev_atom": 0.868, "ef_kj_per_mol_atoms": 22.8, "spacegroup": "R3m"}

=====

{"formula": "InMoIr2", "functional": "GGA-PBE", "state": "optimized geometry", "lattice": [[2.879, 0.000, 0.000], [0.000, 2.879, 0.000], [0.000, 0.000, 7.787]], "species": ["Mo", "Ir", "Ir", "In"], "fractional_positions": [[0.500, 0.500, 0.250], [0.000, 0.000, 0.018], [0.000, 0.000, 0.482], [0.500, 0.500, 0.750]], "dos_ef_per_ev_atom": 0.491, "ef_kj_per_mol_atoms": -18.6, "spacegroup": "P4/mmm"}

=====

{"formula": "InMoIr2", "functional": "GGA-PBE", "state": "optimized geometry", "lattice": [[3.845, 0.000, 0.000], [0.000, 2.877, 0.012], [0.000, 2.868, 5.865]], "species": ["In", "Ir", "Ir", "Mo"], "fractional_positions": [[0.500, 0.750, 0.750], [0.000, 0.980, 0.019], [0.000, 0.520, 0.481], [0.500, 0.250, 0.250]], "dos_ef_per_ev_atom": 0.642, "ef_kj_per_mol_atoms": -7.7, "spacegroup": "P2/m"}

=====

{"formula": "InMo2Ir", "functional": "GGA-PBE", "state": "optimized geometry", "lattice": [[-2.800, -4.100, 1.262], [0.990, 0.701, -4.977], [2.351, -1.531, 0.250]], "species": ["In", "Ir", "Mo", "Mo"], "fractional_positions": [[0.500, 0.000, 0.500], [0.000, 0.500, 0.500], [0.000, 0.000, 0.000], [0.500, 0.500, 0.000]], "dos_ef_per_ev_atom": 0.771, "ef_kj_per_mol_atoms": 18.5, "spacegroup": "Cmmm"}

=====

{"formula": "InMoIr2", "functional": "GGA-PBE", "state": "optimized geometry", "lattice": [[-1.367, -1.174, -3.366], [-0.795, -3.718, 1.619], [-3.776, 1.281, 1.087]], "species": ["In", "Ir", "Ir", "Mo"], "fractional_positions": [[0.500, 0.000, 0.500], [0.000, 0.000, 0.000], [0.000, 0.500, 0.500], [0.500, 0.500, 0.000]], "dos_ef_per_ev_atom": 1.095, "ef_kj_per_mol_atoms": 17.1, "spacegroup": "P4/mmm"}

=====

{"formula": "InMoIr", "functional": "GGA-PBE", "state": "optimized geometry", "lattice": [[-2.087, -2.993, -2.703], [-1.177, 0.315, 4.374], [-1.940, 1.951, -0.663]], "species": ["In", "Ir", "Mo"], "fractional_positions": [[0.000, 0.000, 0.166], [0.667, 0.333, 0.167], [0.333, 0.667, 0.667]], "dos_ef_per_ev_atom": 0.554, "ef_kj_per_mol_atoms": 19.5, "spacegroup": "P-6m2"}

=====

{"formula": "InMoIr2", "functional": "GGA-PBE", "state": "optimized geometry", "lattice": [[9.297, -0.010, -0.006], [8.858, 2.822, -0.006], [8.858, 1.372, 2.466]], "species": ["In", "Ir", "Ir", "Mo"], "fractional_positions": [[0.749, 0.749, 0.749], [0.998, 0.998, 0.998], [0.248, 0.248, 0.248], [0.505, 0.505, 0.505]], "dos_ef_per_ev_atom": 1.243, "ef_kj_per_mol_atoms": 16.9, "spacegroup": "R3m"}

=====

{"formula": "In2MoIr2", "functional": "GGA-PBE", "state": "optimized geometry", "lattice": [[-5.216, -1.403, 5.369], [-5.316, -0.852, -5.386], [0.641, -2.990, -0.159]], "species": ["Mo", "Mo", "Ir", "Ir", "Ir", "Ir", "In", "In", "In", "In"], "fractional_positions": [[0.000, 0.000, 0.000], [0.500, 0.500, 0.000], [0.370, 0.870, 0.000], [0.870, 0.630, 0.000], [0.630, 0.130, 0.000], [0.130, 0.370, 0.000], [0.168, 0.668, 0.500], [0.668, 0.832, 0.500], [0.832, 0.332, 0.500], [0.332, 0.168, 0.500]], "dos_ef_per_ev_atom": 0.909, "ef_kj_per_mol_atoms": 33.6, "spacegroup": "P4/mbm"}

=====

{"formula": "InMo2Ir", "functional": "GGA-PBE", "state": "optimized geometry", "lattice": [[7.439, 0.000, 0.000], [0.000, 7.439, 0.000], [3.720, 3.720, 2.682]], "species": ["Mo", "Mo", "Mo", "Mo", "Ir", "Ir", "In", "In"], "fractional_positions": [[0.662, 0.125, 0.250], [0.088, 0.625, 0.250], [0.375, 0.338, 0.750], [0.875, 0.912, 0.750], [0.000, 0.000, 0.000], [0.750, 0.250, 0.500], [0.500, 0.500, 0.000], [0.250, 0.750, 0.500]], "dos_ef_per_ev_atom": 0.939, "ef_kj_per_mol_atoms": 60.2, "spacegroup": "I-42d"}

=====

{"formula": "InMo2Ir", "functional": "GGA-PBE", "state": "optimized geometry", "lattice": [[4.254, 0.000, 0.000], [0.000, 2.823, 0.017], [0.000, 2.811, 5.492]], "species": ["In", "Ir", "Mo", "Mo"], "fractional_positions": [[0.500, 0.250, 0.250], [0.500, 0.750, 0.750], [0.000, 0.012, 0.987], [0.000, 0.488, 0.513]], "dos_ef_per_ev_atom": 0.856, "ef_kj_per_mol_atoms": 10.9, "spacegroup": "P2/m"}

=====

{"formula": "InMo3Ir", "functional": "GGA-PBE", "state": "optimized geometry", "lattice": [[-0.189, -3.552, -3.184], [4.630, -0.902, 0.733], [-1.147, -3.059, 3.481]], "species": ["Mo", "Mo", "Mo", "Ir", "In"], "fractional_positions": [[0.000, 0.500, 0.000], [0.000, 0.000, 0.500], [0.500, 0.000, 0.000], [0.000, 0.000, 0.000], [0.500, 0.500, 0.500]], "dos_ef_per_ev_atom": 1.107, "ef_kj_per_mol_atoms": 133.9, "de_polymorph_mev_per_atom": 0, "spacegroup": "Pm-3m"}

=====

{"formula": "InMoIr2", "functional": "GGA-PBE", "state": "optimized geometry", "lattice": [[2.871, 0.000, 0.000], [0.000, 4.071, 0.000], [0.000, 0.000, 5.592]], "species": ["In", "Ir", "Ir", "Mo"], "fractional_positions": [[0.500, 0.500, 0.770], [0.000, 0.000, 0.989], [0.500, 0.500, 0.276], [0.000, 0.000, 0.465]], "dos_ef_per_ev_atom": 0.940, "ef_kj_per_mol_atoms": 8.0, "spacegroup": "Pmm2"}

=====

{"formula": "InMoIr2", "functional": "GGA-PBE", "state": "optimized geometry", "lattice": [[2.910, 0.000, 0.000], [0.000, 4.807, 0.000], [0.000, 0.000, 4.658]], "species": ["In", "Ir", "Ir", "Mo"], "fractional_positions": [[0.000, 0.500, 0.500], [0.000, 0.000, 0.000], [0.500, 0.500, 0.000], [0.500, 0.000, 0.500]], "dos_ef_per_ev_atom": 0.822, "ef_kj_per_mol_atoms": 27.7, "spacegroup": "Pmmm"}

=====

{"formula": "InMo2Ir", "functional": "GGA-PBE", "state": "optimized geometry", "lattice": [[4.457, 0.000, 0.000], [0.000, 3.850, 0.000], [0.000, 0.000, 3.850]], "species": ["In", "Ir", "Mo", "Mo"], "fractional_positions": [[0.500, 0.500, 0.000], [0.500, 0.000, 0.500], [0.000, 0.000, 0.000], [0.000, 0.500, 0.500]], "dos_ef_per_ev_atom": 0.615, "ef_kj_per_mol_atoms": 17.0, "spacegroup": "P4/mmm"}

=====

{"formula": "InMoIr2", "functional": "GGA-PBE", "state": "optimized geometry", "lattice": [[5.008, -0.007, -0.019], [1.920, 4.625, 0.019], [-3.453, -2.325, 2.781]], "species": ["In", "Ir", "Ir", "Mo"], "fractional_positions": [[0.250, 0.750, 0.500], [0.000, 0.000, 0.000], [0.750, 0.250, 0.500], [0.500, 0.500, 0.000]], "dos_ef_per_ev_atom": 0.934, "ef_kj_per_mol_atoms": 7.7, "spacegroup": "I-4m2"}

=====

{"formula": "InMoIr", "functional": "GGA-PBE", "state": "optimized geometry", "lattice": [[6.260, -0.019, 0.020], [5.579, 2.838, 0.024], [0.680, 0.159, 2.853]], "species": ["In", "Ir", "Mo"], "fractional_positions": [[0.002, 0.002, 0.998], [0.679, 0.679, 0.321], [0.319, 0.319, 0.681]], "dos_ef_per_ev_atom": 0.707, "ef_kj_per_mol_atoms": -3.0, "spacegroup": "I4mm"}

=====

{"formula": "InMoIr2", "functional": "GGA-PBE", "state": "optimized geometry", "lattice": [[7.260, 0.000, 0.000], [0.000, 7.260, 0.000], [3.630, 3.630, 2.792]], "species": ["Mo", "Mo", "Ir", "Ir", "Ir", "Ir", "In", "In"], "fractional_positions": [[0.500, 0.500, 0.000], [0.250, 0.750, 0.500], [0.587, 0.125, 0.250], [0.163, 0.625, 0.250], [0.375, 0.413, 0.750], [0.875, 0.837, 0.750], [0.000, 0.000, 0.000], [0.750, 0.250, 0.500]], "dos_ef_per_ev_atom": 1.134, "ef_kj_per_mol_atoms": 45.6, "spacegroup": "I-42d"}

=====

{"formula": "InMo2Ir", "functional": "GGA-PBE", "state": "optimized geometry", "lattice": [[4.942, -0.006, 0.000], [1.631, 4.665, 0.000], [-3.287, -2.330, 2.862]], "species": ["In", "Ir", "Mo", "Mo"], "fractional_positions": [[0.500, 0.500, 0.000], [0.750, 0.250, 0.500], [0.000, 0.000, 0.000], [0.250, 0.750, 0.500]], "dos_ef_per_ev_atom": 0.916, "ef_kj_per_mol_atoms": 18.3, "spacegroup": "I-4m2"}

=====

{"formula": "InMo2Ir", "functional": "GGA-PBE", "state": "optimized geometry", "lattice": [[5.119, -0.005, 0.004], [4.240, 2.868, 0.004], [0.992, 0.303, 4.536]], "species": ["In", "Ir", "Mo", "Mo"], "fractional_positions": [[0.750, 0.750, 0.750], [0.250, 0.250, 0.250], [0.991, 0.991, 0.027], [0.509, 0.509, 0.473]], "dos_ef_per_ev_atom": 0.653, "ef_kj_per_mol_atoms": 12.6, "spacegroup": "C2/m"}

=====

{"formula": "InMo2Ir", "functional": "GGA-PBE", "state": "optimized geometry", "lattice": [[2.847, 0.000, 0.000], [0.000, 2.847, 0.000], [0.000, 0.000, 8.269]], "species": ["In", "Ir", "Mo", "Mo"], "fractional_positions": [[0.000, 0.000, 0.511], [0.500, 0.500, 0.769], [0.000, 0.000, 0.980], [0.500, 0.500, 0.239]], "dos_ef_per_ev_atom": 0.664, "ef_kj_per_mol_atoms": 8.6, "spacegroup": "P4mm"}

=====

{"formula": "InMoIr2", "functional": "GGA-PBE", "state": "optimized geometry", "lattice": [[-3.039, -2.856, -2.654], [-0.383, -3.922, -2.985], [-0.965, -3.418, 3.275]], "species": ["In", "Ir", "Ir", "Mo"], "fractional_positions": [[0.254, 0.254, 0.223], [0.006, 0.006, 0.018], [0.750, 0.750, 0.719], [0.490, 0.490, 0.540]], "dos_ef_per_ev_atom": 0.809, "ef_kj_per_mol_atoms": 1.1, "spacegroup": "Cm"}

=====

{"formula": "InMo2Ir", "functional": "GGA-PBE", "state": "optimized geometry", "lattice": [[5.219, -0.010, -0.115], [2.404, 4.633, 0.115], [-3.657, -2.567, 2.701]], "species": ["In", "Ir", "Mo", "Mo"], "fractional_positions": [[0.750, 0.250, 0.500], [0.250, 0.750, 0.500], [0.001, 0.001, 0.000], [0.499, 0.499, 0.000]], "dos_ef_per_ev_atom": 0.676, "ef_kj_per_mol_atoms": 9.0, "spacegroup": "Immm"}

=====

{"formula": "InMo2Ir", "functional": "GGA-PBE", "state": "optimized geometry", "lattice": [[4.953, -0.001, 0.003], [4.148, 2.707, 0.003], [0.781, 0.232, 4.960]], "species": ["In", "Ir", "Mo", "Mo"], "fractional_positions": [[0.507, 0.507, 0.487], [0.261, 0.261, 0.247], [0.987, 0.987, 0.992], [0.744, 0.744, 0.774]], "dos_ef_per_ev_atom": 0.598, "ef_kj_per_mol_atoms": 16.4, "spacegroup": "Cm"}